## BeTe4Br (PBE)

Data for crystalline BeTe4Br at its relaxed geometry.

Computed properties:
Formation energy (no corrections) (eV/atom): 0.698
Spin magnetization (Bohr magnetons per cell): 0.0

Lattice parameters (Å, degrees): 6.315 6.315 6.315 60.00 60.00 60.00
Positions (direct):
Be 0.000 0.000 0.000
Te 0.374 0.374 0.374
Te 0.374 0.374 0.877
Te 0.374 0.877 0.374
Te 0.877 0.374 0.374
Br 0.750 0.750 0.750